No. 1
The following is a PBEsol calculation of an optimized crystal structure of FeSiPb, from Alexandria.

a = 5.942 Å, b = 5.942 Å, c = 5.942 Å
α = 90.00°, β = 90.00°, γ = 90.00°
Space group F-43m (No. 216)
Symmetry-distinct sites (fractional):
Fe (0.000, 0.000, 0.000)
Si (0.250, 0.250, 0.750)
Pb (0.250, 0.250, 0.250)

Properties
The value obtained for the raw formation energy is 39.6 kJ per mole of atoms.

---

No. 2
The following is a PBEsol calculation of an optimized crystal structure of Ta2FePb, from Alexandria.

a = 3.347 Å, b = 4.635 Å, c = 8.864 Å
α = 90.00°, β = 90.00°, γ = 90.00°
Space group Imm2 (No. 44)
Symmetry-distinct sites (fractional):
Ta (0.000, 0.000, 0.000)
Ta (0.000, 0.500, 0.234)
Fe (0.000, 0.500, 0.715)
Pb (0.000, 0.000, 0.455)

Properties
The value obtained for the energy is -36.64 eV/f.u.

---

Number 1: D(E_F) 3.08 states/eV/f.u., calculated volume 17.48 A^3/atom, spin magnetization 0.3399 μB/atom. Number 2: D(E_F) 2.16 states/eV/f.u., calculated volume 17.19 A^3/atom, spin magnetization 0.4902 μB/atom.